First-principles (PBE) data for a geometry-optimized TcBIr2 structure, as listed in OQMD.

a b c (Å): 5.947 5.947 5.947
angles (deg): 90.00 90.00 90.00
Space group F-43m (No. 216)
One atom of each set of equivalent atoms:
1 Tc 0.000 0.000 0.000
2 B 0.250 0.250 0.750
3 Ir 0.000 0.000 0.500
4 Ir 0.250 0.250 0.250

- Calculated total energy: -8.11 eV/atom
- Total moment: 0.12 μB per cell
- Calculated volume: 210 Å³ per cell



First-principles (PBE) data for a geometry-optimized BaLi2Hg structure, as listed in OQMD.

a b c (Å): 7.786 7.786 7.786
angles (deg): 90.00 90.00 90.00
Space group F-43m (No. 216)
One atom of each set of equivalent atoms:
1 Ba 0.000 0.000 0.000
2 Li 0.000 0.000 0.500
3 Li 0.250 0.250 0.750
4 Hg 0.250 0.250 0.250

- Calculated total energy: -1.66 eV/atom
- Calculated volume: 472 Å³ per cell



Please write out number 2 again, unchanged.
First-principles (PBE) data for a geometry-optimized BaLi2Hg structure, as listed in OQMD.

a b c (Å): 7.786 7.786 7.786
angles (deg): 90.00 90.00 90.00
Space group F-43m (No. 216)
One atom of each set of equivalent atoms:
1 Ba 0.000 0.000 0.000
2 Li 0.000 0.000 0.500
3 Li 0.250 0.250 0.750
4 Hg 0.250 0.250 0.250

- Calculated total energy: -1.66 eV/atom
- Calculated volume: 472 Å³ per cell